# KIn2Hg7 | the Alexandria database | PBE | optimized geometry
# Energy above the lowest structure with this stoichiometry, eV per atom: 0.0501
# Theoretical density, Mg/m³: 7.8
# SG: Cmmm (65)
# Final energy, eV per atom: -0.88
# Formation energy from the elements, eV/atom: -0.0070
data_KIn2Hg7
_chemical_formula_sum 'K1 In2 Hg7'
_symmetry_space_group_name_H-M 'P 1'
_symmetry_Int_Tables_number 1
_cell_length_a 8.415
_cell_length_b 8.415
_cell_length_c 5.858
_cell_angle_alpha 90.00
_cell_angle_beta 90.00
_cell_angle_gamma 120.22
loop_
_symmetry_equiv_pos_as_xyz
'x,y,z'
loop_
_atom_site_label
_atom_site_type_symbol
_atom_site_fract_x
_atom_site_fract_y
_atom_site_fract_z
K1 K 0.000 0.000 0.000
In1 In 0.288 0.712 0.500
In2 In 0.712 0.288 0.500
Hg1 Hg 0.077 0.292 0.500
Hg2 Hg 0.287 0.713 0.000
Hg3 Hg 0.292 0.077 0.500
Hg4 Hg 0.500 0.500 0.500
Hg5 Hg 0.708 0.923 0.500
Hg6 Hg 0.713 0.287 0.000
Hg7 Hg 0.923 0.708 0.500

# Rb2BaTa | the Alexandria database | PBE | optimized geometry
# Energy above the lowest structure with this stoichiometry, eV per atom: 0.0817
# Theoretical density, Mg/m³: 4.2
# SG: Fm-3m (225)
# Final energy, eV per atom: -2.45
# Formation energy from the elements, eV/atom: 1.4745
data_Rb2BaTa
_chemical_formula_sum 'Rb2 Ba1 Ta1'
_symmetry_space_group_name_H-M 'P 1'
_symmetry_Int_Tables_number 1
_cell_length_a 6.496
_cell_length_b 6.496
_cell_length_c 6.496
_cell_angle_alpha 60.00
_cell_angle_beta 60.00
_cell_angle_gamma 60.00
loop_
_symmetry_equiv_pos_as_xyz
'x,y,z'
loop_
_atom_site_label
_atom_site_type_symbol
_atom_site_fract_x
_atom_site_fract_y
_atom_site_fract_z
Rb1 Rb 0.250 0.250 0.250
Rb2 Rb 0.750 0.750 0.750
Ba1 Ba 0.000 0.000 0.000
Ta1 Ta 0.500 0.500 0.500

# Zr3BiH | the Alexandria database | PBE | optimized geometry
# Energy above the lowest structure with this stoichiometry, eV per atom: 0.0131
# Theoretical density, Mg/m³: 8.2
# SG: P-1 (2)
# Final energy, eV per atom: -6.90
data_Zr3BiH
_chemical_formula_sum 'Zr6 Bi2 H2'
_symmetry_space_group_name_H-M 'P 1'
_symmetry_Int_Tables_number 1
_cell_length_a 5.715
_cell_length_b 5.722
_cell_length_c 7.355
_cell_angle_alpha 101.07
_cell_angle_beta 102.11
_cell_angle_gamma 117.74
loop_
_symmetry_equiv_pos_as_xyz
'x,y,z'
loop_
_atom_site_label
_atom_site_type_symbol
_atom_site_fract_x
_atom_site_fract_y
_atom_site_fract_z
Zr1 Zr 0.127 0.104 0.209
Zr2 Zr 0.250 0.746 0.502
Zr3 Zr 0.300 0.687 0.996
Zr4 Zr 0.700 0.313 0.004
Zr5 Zr 0.750 0.254 0.498
Zr6 Zr 0.873 0.896 0.791
Bi1 Bi 0.321 0.315 0.660
Bi2 Bi 0.679 0.685 0.340
H1 H 0.489 0.095 0.190
H2 H 0.511 0.905 0.810

# Sr3Cd9Ni2 | the Alexandria database | PBE | optimized geometry
# Theoretical density, Mg/m³: 6.6
# SG: Immm (71)
# Final energy, eV per atom: -1.95
# Formation energy from the elements, eV/atom: -0.1735
data_Sr3Cd9Ni2
_chemical_formula_sum 'Sr3 Cd9 Ni2'
_symmetry_space_group_name_H-M 'P 1'
_symmetry_Int_Tables_number 1
_cell_length_a 9.035
_cell_length_b 9.035
_cell_length_c 9.035
_cell_angle_alpha 149.64
_cell_angle_beta 106.74
_cell_angle_gamma 81.33
loop_
_symmetry_equiv_pos_as_xyz
'x,y,z'
loop_
_atom_site_label
_atom_site_type_symbol
_atom_site_fract_x
_atom_site_fract_y
_atom_site_fract_z
Sr1 Sr 0.000 0.000 0.000
Sr2 Sr 0.315 0.315 0.000
Sr3 Sr 0.685 0.685 0.000
Cd1 Cd 0.020 0.661 0.359
Cd2 Cd 0.164 0.884 0.281
Cd3 Cd 0.302 0.661 0.641
Cd4 Cd 0.397 0.116 0.281
Cd5 Cd 0.500 0.000 0.500
Cd6 Cd 0.603 0.884 0.719
Cd7 Cd 0.698 0.339 0.359
Cd8 Cd 0.836 0.116 0.719
Cd9 Cd 0.980 0.339 0.641
Ni1 Ni 0.294 0.500 0.794
Ni2 Ni 0.706 0.500 0.206

# SiHg2Sb | the Alexandria database | PBE | optimized geometry
# Energy above the lowest structure with this stoichiometry, eV per atom: 0.2362
# Theoretical density, Mg/m³: 9.5
# SG: Cmmm (65)
# Final energy, eV per atom: -2.13
# Raw formation energy, kJ per mole of atoms: 38.9
data_SiHg2Sb
_chemical_formula_sum 'Si1 Hg2 Sb1'
_symmetry_space_group_name_H-M 'P 1'
_symmetry_Int_Tables_number 1
_cell_length_a 3.307
_cell_length_b 3.307
_cell_length_c 10.136
_cell_angle_alpha 90.00
_cell_angle_beta 90.00
_cell_angle_gamma 120.08
loop_
_symmetry_equiv_pos_as_xyz
'x,y,z'
loop_
_atom_site_label
_atom_site_type_symbol
_atom_site_fract_x
_atom_site_fract_y
_atom_site_fract_z
Si1 Si 0.000 0.000 0.000
Hg1 Hg 0.500 0.500 0.228
Hg2 Hg 0.500 0.500 0.772
Sb1 Sb 0.000 0.000 0.500

# LaDy4In3 | the Alexandria database | PBE | optimized geometry
# Theoretical density, Mg/m³: 7.9
# SG: Immm (71)
# Final energy, eV per atom: -4.17
# Formation energy from the elements, eV/atom: -0.2293
data_LaDy4In3
_chemical_formula_sum 'La1 Dy4 In3'
_symmetry_space_group_name_H-M 'P 1'
_symmetry_Int_Tables_number 1
_cell_length_a 9.057
_cell_length_b 9.057
_cell_length_c 9.057
_cell_angle_alpha 157.67
_cell_angle_beta 122.14
_cell_angle_gamma 62.81
loop_
_symmetry_equiv_pos_as_xyz
'x,y,z'
loop_
_atom_site_label
_atom_site_type_symbol
_atom_site_fract_x
_atom_site_fract_y
_atom_site_fract_z
La1 La 0.000 0.000 0.000
Dy1 Dy 0.163 0.860 0.303
Dy2 Dy 0.444 0.140 0.303
Dy3 Dy 0.556 0.860 0.697
Dy4 Dy 0.837 0.140 0.697
In1 In 0.188 0.688 0.500
In2 In 0.500 0.500 0.000
In3 In 0.812 0.312 0.500

# SnHF4 | the Alexandria database | PBE | optimized geometry
# Theoretical density, Mg/m³: 4.2
# SG: C2/c (15)
# Final energy, eV per atom: -4.46
data_SnHF4
_chemical_formula_sum 'Sn2 H2 F8'
_symmetry_space_group_name_H-M 'P 1'
_symmetry_Int_Tables_number 1
_cell_length_a 6.347
_cell_length_b 6.347
_cell_length_c 5.337
_cell_angle_alpha 103.58
_cell_angle_beta 103.58
_cell_angle_gamma 124.51
loop_
_symmetry_equiv_pos_as_xyz
'x,y,z'
loop_
_atom_site_label
_atom_site_type_symbol
_atom_site_fract_x
_atom_site_fract_y
_atom_site_fract_z
Sn1 Sn 0.104 0.896 0.750
Sn2 Sn 0.896 0.104 0.250
H1 H 0.297 0.703 0.250
H2 H 0.703 0.297 0.750
F1 F 0.169 0.586 0.364
F2 F 0.171 0.251 0.694
F3 F 0.251 0.171 0.194
F4 F 0.414 0.831 0.136
F5 F 0.586 0.169 0.864
F6 F 0.749 0.829 0.806
F7 F 0.829 0.749 0.306
F8 F 0.831 0.414 0.636

# ScRh2W | the Alexandria database | PBE | optimized geometry
# Energy above the lowest structure with this stoichiometry, eV per atom: 0.3004
# Theoretical density, Mg/m³: 11.2
# SG: C2/m (12)
# Final energy, eV per atom: -8.64
# Formation energy from the elements, eV/atom: -0.1393
data_ScRh2W
_chemical_formula_sum 'Sc1 Rh2 W1'
_symmetry_space_group_name_H-M 'P 1'
_symmetry_Int_Tables_number 1
_cell_length_a 4.698
_cell_length_b 4.698
_cell_length_c 5.132
_cell_angle_alpha 98.57
_cell_angle_beta 98.57
_cell_angle_gamma 35.18
loop_
_symmetry_equiv_pos_as_xyz
'x,y,z'
loop_
_atom_site_label
_atom_site_type_symbol
_atom_site_fract_x
_atom_site_fract_y
_atom_site_fract_z
Sc1 Sc 0.000 0.000 0.000
Rh1 Rh 0.250 0.250 0.734
Rh2 Rh 0.750 0.750 0.266
W1 W 0.500 0.500 0.500

# CdSiAu2 | the Alexandria database | PBE | optimized geometry
# Energy above the lowest structure with this stoichiometry, eV per atom: 0.0084
# Theoretical density, Mg/m³: 10.8
# SG: Cm (8)
# Final energy, eV per atom: -3.21
# Raw formation energy, kJ per mole of atoms: 1.0
data_CdSiAu2
_chemical_formula_sum 'Cd1 Si1 Au2'
_symmetry_space_group_name_H-M 'P 1'
_symmetry_Int_Tables_number 1
_cell_length_a 4.501
_cell_length_b 4.501
_cell_length_c 5.738
_cell_angle_alpha 101.67
_cell_angle_beta 101.67
_cell_angle_gamma 46.44
loop_
_symmetry_equiv_pos_as_xyz
'x,y,z'
loop_
_atom_site_label
_atom_site_type_symbol
_atom_site_fract_x
_atom_site_fract_y
_atom_site_fract_z
Cd1 Cd 0.000 0.000 0.000
Si1 Si 0.347 0.347 0.564
Au1 Au 0.657 0.657 0.718
Au2 Au 0.752 0.752 0.257